Ac4GeP2 PBE relaxed; ΔH_f (0 K) = -700.2 kJ/mol of formula units; space-group type = Cmcm (63); total magnetic moment = 0.7 μB/f.u.; energy = -5.590 eV/atom
1.0
2.2282 -7.1458 0.0000
2.2282 7.1458 0.0000
0.0000 0.0000 14.8949
Ac Ge P
8 2 4
direct
0.0000 0.0000 0.0000
0.0000 0.0000 0.5000
0.2752 0.7248 0.6212
0.2752 0.7248 0.8788
0.4495 0.5505 0.2500
0.5505 0.4495 0.7500
0.7248 0.2752 0.1212
0.7248 0.2752 0.3788
0.1082 0.8918 0.2500
0.8918 0.1082 0.7500
0.3621 0.6379 0.0619
0.3621 0.6379 0.4381
0.6379 0.3621 0.5619
0.6379 0.3621 0.9381